# 1
## KVIrPt (GGA-PBE)

Data for an optimized crystal structure of KVIrPt.

```
data_KVIrPt
_chemical_formula_sum 'K1 V1 Ir1 Pt1'
_space_group_name_H-M_alt 'P 1'
_space_group_IT_number 1
_space_group_name_Hall 'P 1'
_cell_length_a 3.0304
_cell_length_b 4.7471
_cell_length_c 6.7879
_cell_angle_alpha 98.80
_cell_angle_beta 90.13
_cell_angle_gamma 108.53
loop_
_atom_site_label
_atom_site_fract_x
_atom_site_fract_y
_atom_site_fract_z
K1 0.0000 0.0000 0.0000
V1 0.8065 0.6057 0.4192
Ir1 0.5053 0.0039 0.4702
Pt1 0.2318 0.4541 0.6809
```

Computed properties:
calculated density = 8.68 g/cm³
VASP energy = -6.0212 eV/atom
formation energy = 258.3 meV/atom
E above lowest polymorph = 0.324 eV/atom


# 2
## KVIrPt (GGA-PBE)

Data for an optimized crystal structure of KVIrPt.

```
data_KVIrPt
_chemical_formula_sum 'K3 V3 Ir3 Pt3'
_space_group_name_H-M_alt 'R 3 m'
_space_group_IT_number 160
_space_group_name_Hall 'R 3 -2"'
_cell_length_a 2.8351
_cell_length_b 2.8351
_cell_length_c 29.6701
_cell_angle_alpha 90.00
_cell_angle_beta 90.00
_cell_angle_gamma 120.00
loop_
_atom_site_label
_atom_site_fract_x
_atom_site_fract_y
_atom_site_fract_z
K1 0.0000 0.0000 0.0000
V1 0.0000 0.0000 0.4992
Ir1 0.0000 0.0000 0.7643
Pt1 0.0000 0.0000 0.2368
```

Computed properties:
calculated density = 11.51 g/cm³
VASP energy = -6.1330 eV/atom
formation energy = 146.5 meV/atom
E above lowest polymorph = 0.212 eV/atom


# 3
## KVIrPt (GGA-PBE)

Data for an optimized crystal structure of KVIrPt.

```
data_KVIrPt
_chemical_formula_sum 'K2 V2 Ir2 Pt2'
_space_group_name_H-M_alt 'C 1 m 1'
_space_group_IT_number 8
_space_group_name_Hall 'C -2y'
_cell_length_a 10.9577
_cell_length_b 2.8027
_cell_length_c 6.0612
_cell_angle_alpha 90.00
_cell_angle_beta 104.43
_cell_angle_gamma 90.00
loop_
_atom_site_label
_atom_site_fract_x
_atom_site_fract_y
_atom_site_fract_z
K1 0.0000 0.0000 0.0000
V1 0.3059 0.5000 0.4397
Ir1 0.2175 0.0000 0.6804
Pt1 0.0065 0.5000 0.4905
```

Computed properties:
calculated density = 8.79 g/cm³
VASP energy = -5.9971 eV/atom
formation energy = 282.4 meV/atom
E above lowest polymorph = 0.348 eV/atom


# 4
## KVIrPt (GGA-PBE)

Data for an optimized crystal structure of KVIrPt.

```
data_KVIrPt
_chemical_formula_sum 'K1 V1 Ir1 Pt1'
_space_group_name_H-M_alt 'P 4 m m'
_space_group_IT_number 99
_space_group_name_Hall 'P 4 -2'
_cell_length_a 2.9702
_cell_length_b 2.9702
_cell_length_c 8.4594
_cell_angle_alpha 90.00
_cell_angle_beta 90.00
_cell_angle_gamma 90.00
loop_
_atom_site_label
_atom_site_fract_x
_atom_site_fract_y
_atom_site_fract_z
K1 0.0000 0.0000 0.0000
V1 0.0000 0.0000 0.4896
Ir1 0.5000 0.5000 0.3226
Pt1 0.5000 0.5000 0.6856
```

Computed properties:
calculated density = 10.62 g/cm³
VASP energy = -6.3454 eV/atom
formation energy = -65.9 meV/atom
E above lowest polymorph = 0.000 eV/atom


# 5
## KVIrPt (GGA-PBE)

Data for an optimized crystal structure of KVIrPt.

```
data_KVIrPt
_chemical_formula_sum 'K1 V1 Ir1 Pt1'
_space_group_name_H-M_alt 'P 1 m 1'
_space_group_IT_number 6
_space_group_name_Hall 'P -2y'
_cell_length_a 2.7638
_cell_length_b 3.9057
_cell_length_c 7.7579
_cell_angle_alpha 90.00
_cell_angle_beta 98.64
_cell_angle_gamma 90.00
loop_
_atom_site_label
_atom_site_fract_x
_atom_site_fract_y
_atom_site_fract_z
K1 0.0000 0.0000 0.0000
V1 0.2652 0.5000 0.3716
Ir1 0.7474 0.0000 0.4876
Pt1 0.3661 0.5000 0.6941
```

Computed properties:
calculated density = 9.57 g/cm³
VASP energy = -6.0624 eV/atom
formation energy = 217.0 meV/atom
E above lowest polymorph = 0.283 eV/atom


# 6
## KPu2Ir (GGA-PBE)

Data for an optimized crystal structure of KPu2Ir.

```
data_KPu2Ir
_chemical_formula_sum 'K3 Pu6 Ir3'
_space_group_name_H-M_alt 'R -3 m'
_space_group_IT_number 166
_space_group_name_Hall '-R 3 2"'
_cell_length_a 4.0274
_cell_length_b 4.0274
_cell_length_c 32.2373
_cell_angle_alpha 90.00
_cell_angle_beta 90.00
_cell_angle_gamma 120.00
loop_
_atom_site_label
_atom_site_fract_x
_atom_site_fract_y
_atom_site_fract_z
K1 0.0000 0.0000 0.0000
Pu1 0.0000 0.0000 0.1202
Ir1 0.0000 0.0000 0.5000
```

Computed properties:
calculated density = 7.91 g/cm³
VASP energy = -9.6266 eV/atom
formation energy = 29.0 meV/atom


# 7
## K3Pu3IrS8 (GGA-PBE)

Data for an optimized crystal structure of K3Pu3IrS8.

```
data_K3Pu3IrS8
_chemical_formula_sum 'K6 Pu6 Ir2 S16'
_space_group_name_H-M_alt 'C 1 2/m 1'
_space_group_IT_number 12
_space_group_name_Hall '-C 2y'
_cell_length_a 13.6481
_cell_length_b 7.8631
_cell_length_c 8.7867
_cell_angle_alpha 90.00
_cell_angle_beta 121.06
_cell_angle_gamma 90.00
loop_
_atom_site_label
_atom_site_fract_x
_atom_site_fract_y
_atom_site_fract_z
K1 0.0000 0.0000 0.0000
K2 0.2500 0.2500 0.0000
Pu1 0.0000 0.5000 0.5000
Pu2 0.2500 0.2500 0.5000
Ir1 0.0000 0.0000 0.5000
S1 0.0137 0.2259 0.3155
S2 0.2119 0.0000 0.6830
S3 0.2355 0.5000 0.7042
```

Computed properties:
calculated density = 5.34 g/cm³
VASP energy = -7.1422 eV/atom
formation energy (no corrections) = -18.96 eV/f.u.


# 8
## KRbTc2Ir (GGA-PBE)

Data for an optimized crystal structure of KRbTc2Ir.

```
data_KRbTc2Ir
_chemical_formula_sum 'K1 Rb1 Tc2 Ir1'
_space_group_name_H-M_alt 'P 4/m m m'
_space_group_IT_number 123
_space_group_name_Hall '-P 4 2'
_cell_length_a 4.7657
_cell_length_b 4.7657
_cell_length_c 5.1810
_cell_angle_alpha 90.00
_cell_angle_beta 90.00
_cell_angle_gamma 90.00
loop_
_atom_site_label
_atom_site_fract_x
_atom_site_fract_y
_atom_site_fract_z
K1 0.0000 0.0000 0.0000
Rb1 0.0000 0.0000 0.5000
Tc1 0.0000 0.5000 0.0000
Ir1 0.5000 0.5000 0.5000
```

Computed properties:
calculated density = 7.24 g/cm³
VASP energy = -3.2509 eV/atom
formation energy = 3080.7 meV/atom


# 9
## KReIr2 (GGA-PBE)

Data for an optimized crystal structure of KReIr2.

```
data_KReIr2
_chemical_formula_sum 'K1 Re1 Ir2'
_space_group_name_H-M_alt 'P 1 m 1'
_space_group_IT_number 6
_space_group_name_Hall 'P -2y'
_cell_length_a 2.7398
_cell_length_b 4.3010
_cell_length_c 7.2966
_cell_angle_alpha 90.00
_cell_angle_beta 97.70
_cell_angle_gamma 90.00
loop_
_atom_site_label
_atom_site_fract_x
_atom_site_fract_y
_atom_site_fract_z
K1 0.0000 0.0000 0.0000
Re1 0.7846 0.5000 0.3790
Ir1 0.3218 0.0000 0.4739
Ir2 0.3956 0.5000 0.6881
```

Computed properties:
calculated density = 11.88 g/cm³
VASP energy = -7.0673 eV/atom
formation energy = 749.6 meV/atom
E above lowest polymorph = 0.404 eV/atom


# 10
## KRe2Ir (GGA-PBE)

Data for an optimized crystal structure of KRe2Ir.

```
data_KRe2Ir
_chemical_formula_sum 'K1 Re2 Ir1'
_space_group_name_H-M_alt 'P 1 m 1'
_space_group_IT_number 6
_space_group_name_Hall 'P -2y'
_cell_length_a 2.7208
_cell_length_b 3.8613
_cell_length_c 8.0330
_cell_angle_alpha 90.00
_cell_angle_beta 92.13
_cell_angle_gamma 90.00
loop_
_atom_site_label
_atom_site_fract_x
_atom_site_fract_y
_atom_site_fract_z
K1 0.0000 0.0000 0.0000
Re1 0.0960 0.0000 0.4874
Re2 0.5082 0.5000 0.6454
Ir1 0.5373 0.5000 0.3216
```

Computed properties:
calculated density = 11.89 g/cm³
VASP energy = -8.0181 eV/atom
formation energy = 695.6 meV/atom
E above lowest polymorph = 0.094 eV/atom


# 11
## K3ReIr (GGA-PBE)

Data for an optimized crystal structure of K3ReIr.

```
data_K3ReIr
_chemical_formula_sum 'K3 Re1 Ir1'
_space_group_name_H-M_alt 'P m -3 m'
_space_group_IT_number 221
_space_group_name_Hall '-P 4 2 3'
_cell_length_a 6.0731
_cell_length_b 6.0731
_cell_length_c 6.0731
_cell_angle_alpha 90.00
_cell_angle_beta 90.00
_cell_angle_gamma 90.00
loop_
_atom_site_label
_atom_site_fract_x
_atom_site_fract_y
_atom_site_fract_z
K1 0.0000 0.0000 0.5000
Re1 0.5000 0.5000 0.5000
Ir1 0.0000 0.0000 0.0000
```

Computed properties:
calculated density = 3.68 g/cm³
VASP energy = -3.0074 eV/atom
formation energy = 1912.9 meV/atom
E above lowest polymorph = 0.000 eV/atom


# 12
## KReIr2 (GGA-PBE)

Data for an optimized crystal structure of KReIr2.

```
data_KReIr2
_chemical_formula_sum 'K1 Re1 Ir2'
_space_group_name_H-M_alt 'P m m 2'
_space_group_IT_number 25
_space_group_name_Hall 'P 2 -2'
_cell_length_a 2.6820
_cell_length_b 4.0037
_cell_length_c 7.7897
_cell_angle_alpha 90.00
_cell_angle_beta 90.00
_cell_angle_gamma 90.00
loop_
_atom_site_label
_atom_site_fract_x
_atom_site_fract_y
_atom_site_fract_z
K1 0.0000 0.0000 0.0000
Re1 0.5000 0.5000 0.3649
Ir1 0.0000 0.0000 0.4988
Ir2 0.5000 0.5000 0.6866
```

Computed properties:
calculated density = 12.10 g/cm³
VASP energy = -7.1621 eV/atom
formation energy = 654.8 meV/atom
E above lowest polymorph = 0.309 eV/atom


# 13
## KReIr (GGA-PBE)

Data for an optimized crystal structure of KReIr.

```
data_KReIr
_chemical_formula_sum 'K2 Re2 Ir2'
_space_group_name_H-M_alt 'I m m 2'
_space_group_IT_number 44
_space_group_name_Hall 'I 2 -2'
_cell_length_a 2.7314
_cell_length_b 4.0129
_cell_length_c 12.4563
_cell_angle_alpha 90.00
_cell_angle_beta 90.00
_cell_angle_gamma 90.00
loop_
_atom_site_label
_atom_site_fract_x
_atom_site_fract_y
_atom_site_fract_z
K1 0.0000 0.0000 0.0000
Re1 0.0000 0.0000 0.7199
Ir1 0.0000 0.0000 0.2869
```

Computed properties:
calculated density = 10.16 g/cm³
VASP energy = -6.8725 eV/atom
formation energy = 596.4 meV/atom
E above lowest polymorph = 0.000 eV/atom


# 14
## KReIr2 (GGA-PBE)

Data for an optimized crystal structure of KReIr2.

```
data_KReIr2
_chemical_formula_sum 'K2 Re2 Ir4'
_space_group_name_H-M_alt 'I m m m'
_space_group_IT_number 71
_space_group_name_Hall '-I 2 2'
_cell_length_a 3.1216
_cell_length_b 5.5389
_cell_length_c 9.7137
_cell_angle_alpha 90.00
_cell_angle_beta 90.00
_cell_angle_gamma 90.00
loop_
_atom_site_label
_atom_site_fract_x
_atom_site_fract_y
_atom_site_fract_z
K1 0.0000 0.0000 0.0000
Re1 0.0000 0.0000 0.5000
Ir1 0.0000 0.5000 0.1917
```

Computed properties:
calculated density = 12.06 g/cm³
VASP energy = -6.7231 eV/atom
formation energy = 1093.8 meV/atom
E above lowest polymorph = 0.748 eV/atom


no.,total magnetic moment (μB per cell)
1,0.55
2,0.00
3,2.97
4,0.80
5,0.09
6,33.65
7,9.45
8,4.06
9,0.00
10,0.00
11,5.00
12,0.00
13,0.00
14,0.00